Density functional theory data (GGA-PBE) for a relaxed structure of Ba5SnOs5.

Properties
- SG = No. 187
- E (eV per cell) = -67.63

a b c (Å): 6.0412 6.0412 10.7405
angles (deg): 90.00 90.00 120.00
Positions (direct):
Ba1 0.3333 0.6667 0.0000
Ba2 0.6667 0.3333 0.1986
Ba3 0.0000 0.0000 0.3329
Ba4 0.0000 0.0000 0.6671
Ba5 0.6667 0.3333 0.8014
Os1 0.3333 0.6667 0.3665
Os2 0.5264 0.0528 0.5000
Os3 0.5264 0.4736 0.5000
Os4 0.9472 0.4736 0.5000
Os5 0.3333 0.6667 0.6335
Sn1 0.0000 0.0000 0.0000

***

Density functional theory data (GGA-PBE) for a relaxed structure of Y2Cd2O5.

Properties
- SG = No. 123
- E (eV per cell) = -54.33

a b c (Å): 7.2712 4.2064 4.2064
angles (deg): 90.00 90.00 90.00
Positions (direct):
Cd1 0.2053 0.5000 0.5000
Cd2 0.7947 0.5000 0.5000
O1 0.1962 0.5000 0.0000
O2 0.8038 0.5000 0.0000
O3 0.1962 0.0000 0.5000
O4 0.8038 0.0000 0.5000
O5 0.5000 0.5000 0.5000
Y1 0.0000 0.0000 0.0000
Y2 0.5000 0.0000 0.0000

***

Density functional theory data (GGA-PBE) for a relaxed structure of KWAu3Se4.

Properties
- SG = No. 215
- E (eV per cell) = -38.86

a b c (Å): 6.4852 6.4852 6.4852
angles (deg): 90.00 90.00 90.00
Positions (direct):
Au1 0.5000 0.5000 0.0000
Au2 0.5000 0.0000 0.5000
Au3 0.0000 0.5000 0.5000
K1 0.0000 0.0000 0.0000
Se1 0.2831 0.2831 0.2831
Se2 0.7169 0.7169 0.2831
Se3 0.7169 0.2831 0.7169
Se4 0.2831 0.7169 0.7169
W1 0.5000 0.5000 0.5000

***

Number 1: total magnetic moment 0.0 μB per cell. Number 2: total magnetic moment 0.0 μB per cell. Number 3: total magnetic moment 1.5 μB per cell.